VASP calculation (PBE) on a relaxed structure of Ba2SnPb5.

Its energy relative to the elements is -0.19 eV/atom. The crystal system is tetragonal. For the distance to the lowest polymorph of the same formula, the calculation gives 18.1 kJ/mol of atoms. The value obtained for the total energy is -55.88 eV/cell.

The space group is I4mm (No. 107) and the conventional cell measures 6.9362, 6.9362 and 13.6668 Å, with angles of 90.00, 90.00 and 90.00 degrees. The asymmetric unit holds Ba at (0.0000, 0.5000, 0.0000), Sn at (0.0000, 0.0000, 0.1018), Pb at (0.0000, 0.0000, 0.8936) and Pb at (0.2486, 0.2486, 0.2442).